Ba3Sr8: optimized geometry, PBE.

Cell lengths 8.4961, 8.4961, 8.4961 Å; angles 85.41, 85.41, 85.41 degrees
Atoms (fractional coordinates):
Ba  0.5000  0.0000  0.5000
Ba  0.5000  0.5000  0.0000
Ba  0.0000  0.5000  0.5000
Sr  0.6120  0.6120  0.6120
Sr  0.3021  0.1382  0.8943
Sr  0.1382  0.8943  0.3021
Sr  0.8943  0.3021  0.1382
Sr  0.1057  0.6979  0.8618
Sr  0.3880  0.3880  0.3880
Sr  0.8618  0.1057  0.6979
Sr  0.6979  0.8618  0.1057

Values from the calculation:
The electronic total energy is -15.5 eV/cell. The calculation puts the formation enthalpy at 0 K at 0.342 eV per atom. As for the calculated density: 3.041 g/cm3. Its volume is 607.68 Å³ per cell. For the magnetic moment, the calculation gives 0.000 μB/atom. The crystal system is trigonal.


Ba2Sr: optimized geometry, PBE.

Cell lengths 8.4690, 8.4690, 10.5001 Å; angles 74.61, 74.61, 30.03 degrees
Atoms (fractional coordinates):
Ba  0.3345  0.3345  0.3336
Ba  0.6109  0.6109  0.2777
Ba  0.9990  0.9990  0.9983
Ba  0.6666  0.6666  0.6681
Sr  0.2794  0.2794  0.9417
Sr  0.9429  0.9429  0.6140

Values from the calculation:
The electronic total energy is -11.0 eV/cell. The calculation puts the formation enthalpy at 0 K at 0.014 eV per atom. As for the calculated density: 3.320 g/cm3. Its volume is 362.34 Å³ per cell. As for the energy relative to the lowest polymorph listed for this composition: 12 meV per atom. For the magnetic moment, the calculation gives 0.000 μB/atom. The crystal system is monoclinic.